[1]
# Dy12TlFe6

A geometry-optimized Dy12TlFe6 structure (PBE, the Alexandria database).

```
19
Lattice="7.9215 0.0000 -2.8007 -3.9607 6.8602 -2.8007 0.0000 0.0000 8.4020" Properties=species:S:1:pos:R:3 pbc="T T T"
Dy 1.9558 0.7120 5.6361
Dy 0.4110 3.3875 -0.5813
Dy 3.5497 3.4727 3.3820
Dy 2.0050 6.1482 -2.8355
Dy -2.3663 5.5224 -0.0348
Dy 3.1392 1.3378 0.5813
Dy 0.8216 5.5224 2.2194
Dy 6.3270 1.3378 2.8355
Dy 5.1934 2.0497 -2.2194
Dy 0.3613 2.0497 2.7659
Dy 3.5994 4.8105 0.0348
Dy -1.2326 4.8105 5.0200
Tl 0.0000 0.0000 0.0000
Fe 1.1123 3.4301 4.9875
Fe 2.8485 3.4301 -2.1868
Fe 0.4340 6.1084 -0.6138
Fe 3.5267 0.7518 3.4145
Fe 5.5071 2.6783 0.6138
Fe -1.5463 4.1819 2.1868
```

Computed properties:
Calculated formation energy ... -69 meV per atom
M_tot ... 6.57 μB per formula unit
Crystal system ... cubic
Mass density ... 9.05 Mg/m³

[2]
# Ti2B2Sb

A geometry-optimized Ti2B2Sb structure (PBE, the Alexandria database).

```
10
Lattice="-2.0238 -3.9123 -4.1508 2.1834 -4.6003 3.2714 -3.0184 -0.2311 1.6895" Properties=species:S:1:pos:R:3 pbc="T T T"
Sb 0.0000 0.0000 0.0000
Sb 0.0798 -4.2563 -0.4397
B 1.1559 -5.7255 1.2818
B -0.5214 -6.2796 -1.7907
B -0.9963 -2.7871 -2.1613
B 0.6810 -2.2330 0.9112
Ti -0.3895 -3.9086 2.3262
Ti -1.0755 -6.5513 0.7391
Ti -2.4693 -4.8351 -1.5161
Ti -1.7833 -2.1924 0.0710
```

Computed properties:
Distance to the lowest polymorph of the same formula ... 0.0 kJ per mole of atoms
Formation energy from raw total energies ... -221 meV per atom
M_tot ... 0.00 μB per formula unit
Crystal system ... tetragonal
Mass density ... 6.25 Mg/m³

[3]
# ThGa5Co3

A geometry-optimized ThGa5Co3 structure (PBE, the Alexandria database).

```
18
Lattice="-2.4972 -2.8415 -0.4270 1.0040 0.7032 6.4197 -9.2822 8.0721 0.5674" Properties=species:S:1:pos:R:3 pbc="T T T"
Th -8.3665 4.1751 4.1754
Th -2.4090 1.7587 2.3848
Ga -5.4820 1.7123 3.6950
Ga -8.8307 7.2976 3.0813
Ga -4.6411 4.0361 0.2837
Ga 0.0000 0.0000 0.0000
Ga -1.6060 0.5774 5.5504
Ga -9.1694 5.3564 1.0097
Ga -7.3095 3.7389 0.8960
Ga -1.9447 -1.3638 3.4788
Ga -5.2934 4.2215 2.8651
Ga -3.4660 2.1949 5.6641
Co -9.0479 7.1330 5.4470
Co -3.7399 0.0965 4.2595
Co -5.2621 3.8408 5.2156
Co -5.5133 2.0930 1.3446
Co -7.0355 5.8373 2.3006
Co -1.7275 -1.1992 1.1131
```

Computed properties:
Distance to the lowest polymorph of the same formula ... 0.0 kJ per mole of atoms
Calculated formation energy ... -274 meV per atom
M_tot ... 0.00 μB per formula unit
Crystal system ... orthorhombic
Mass density ... 8.58 Mg/m³